# 1
A relaxed Ac2FeAgO5 crystal. Source: Alexandria, functional PBE with a Hubbard U.

Cell lengths 7.2259, 7.2259, 5.6750 Å; angles 90.00, 90.00, 90.00 degrees
Atoms (fractional coordinates):
Ac 0.1817 0.3183 0.0000
Ac 0.3183 0.8183 0.0000
Ac 0.6817 0.1817 0.0000
Ac 0.8183 0.6817 0.0000
Fe 0.0000 0.5000 0.5000
Fe 0.5000 0.0000 0.5000
Ag 0.0000 0.0000 0.5000
Ag 0.5000 0.5000 0.5000
O 0.0000 0.0000 0.0000
O 0.1253 0.6253 0.2628
O 0.1253 0.6253 0.7372
O 0.3747 0.1253 0.2628
O 0.3747 0.1253 0.7372
O 0.5000 0.5000 0.0000
O 0.6253 0.8747 0.2628
O 0.6253 0.8747 0.7372
O 0.8747 0.3747 0.2628
O 0.8747 0.3747 0.7372

***

# 2
A relaxed Ac3FeAg3O8 crystal. Source: Alexandria, functional PBE with a Hubbard U.

Cell lengths 7.2560, 7.2560, 8.3738 Å; angles 123.62, 123.62, 63.79 degrees
Atoms (fractional coordinates):
Ac 0.0000 0.0000 0.0000
Ac 0.0000 0.5000 0.5000
Ac 0.5000 0.0000 0.5000
Fe 0.5000 0.5000 0.0000
Ag 0.0000 0.0000 0.5000
Ag 0.0000 0.5000 0.0000
Ag 0.5000 0.0000 0.0000
O 0.0870 0.0870 0.3560
O 0.1249 0.5749 0.8768
O 0.4251 0.8751 0.1232
O 0.4278 0.4278 0.7154
O 0.5722 0.5722 0.2846
O 0.5749 0.1249 0.8768
O 0.8751 0.4251 0.1232
O 0.9130 0.9130 0.6440

***

VASP energy readings, ordered: -120.7 -92.7 eV per cell